DFT (PBE) results for a relaxed structure of Hf2ZrGa.

Values from the calculation:
Formation energy in kJ per mole of atoms: 15
Excess energy over the best structure of this formula in the dataset in meV/atom: 422
E in eV per atom: -7.7162
Total magnetization in μB/cell: 0.0

a = 10.7544 Å, b = 10.7544 Å, c = 10.7544 Å
α = 158.00°, β = 158.00°, γ = 31.31°
Fractional positions:
Hf  0.1223  0.6250  0.9973
Hf  0.3750  0.3723  0.4973
Hf  0.6277  0.1250  0.0027
Hf  0.8750  0.8777  0.5027
Zr  0.2500  0.7500  0.5000
Zr  0.5000  0.5000  0.0000
Ga  0.0000  0.0000  0.0000
Ga  0.7500  0.2500  0.5000

DFT (PBE) results for a relaxed structure of Hf2Zr2Ga3.

Values from the calculation:
Formation energy in kJ per mole of atoms: -39
E in eV per atom: -6.9868
Total magnetization in μB/cell: 0.0

a = 5.6457 Å, b = 5.6457 Å, c = 7.5012 Å
α = 95.72°, β = 95.72°, γ = 35.09°
Fractional positions:
Hf  0.2063  0.2063  0.1502
Hf  0.7937  0.7937  0.8498
Zr  0.0661  0.0661  0.7024
Zr  0.9339  0.9339  0.2976
Ga  0.3417  0.3417  0.5597
Ga  0.5000  0.5000  0.0000
Ga  0.6583  0.6583  0.4403

Look up the total magnetization of the second one. 0.0 μB/cell

Among the records above, which one has the highest E? Hf2Zr2Ga3

Which value of total magnetization does entry 1 give? 0.0 μB/cell

Among the records above, which one has the highest formation energy? Hf2ZrGa